Rb2Ag2PbCl7 | PBE-GGA | optimized geometry

Results
- Final energy: -3.07 eV/atom
- Mass density: 3999 kg/m³
- SG: I4/mmm

abc: 5.186 5.186 13.505
angles: 78.95 78.95 90.00
Fractional coordinates of all 12 atoms:
Rb1 0.822 0.822 0.356
Rb2 0.178 0.178 0.644
Ag1 0.598 0.598 0.804
Ag2 0.402 0.402 0.196
Pb1 0.000 0.000 0.000
Cl1 0.500 0.500 0.000
Cl2 0.304 0.304 0.393
Cl3 0.696 0.696 0.607
Cl4 0.920 0.420 0.159
Cl5 0.420 0.920 0.159
Cl6 0.580 0.080 0.841
Cl7 0.080 0.580 0.841

RbAgPb2Cl6 | PBE-GGA | optimized geometry

Results
- Final energy: -3.39 eV/atom
- Mass density: 4213 kg/m³
- SG: P1

abc: 7.539 7.532 7.967
angles: 61.07 60.89 59.54
Fractional coordinates of all 10 atoms:
Rb1 0.795 0.801 0.608
Ag1 0.316 0.310 0.064
Pb1 0.519 0.519 0.444
Pb2 0.011 0.010 0.970
Cl1 0.604 0.241 0.233
Cl2 0.241 0.924 0.229
Cl3 0.937 0.593 0.232
Cl4 0.356 0.733 0.736
Cl5 0.712 0.171 0.759
Cl6 0.170 0.360 0.740

RbAg2PbCl6 | PBE-GGA | optimized geometry

Results
- Final energy: -3.10 eV/atom
- Mass density: 4249 kg/m³
- SG: R3

abc: 7.276 7.276 7.447
angles: 60.72 60.73 60.01
Fractional coordinates of all 10 atoms:
Rb1 0.778 0.778 0.665
Ag1 0.517 0.517 0.448
Ag2 0.006 0.006 0.981
Pb1 0.313 0.312 0.063
Cl1 0.659 0.263 0.215
Cl2 0.263 0.862 0.216
Cl3 0.862 0.659 0.216
Cl4 0.316 0.741 0.737
Cl5 0.741 0.206 0.737
Cl6 0.206 0.316 0.737

What did the third record say?
RbAg2PbCl6 | PBE-GGA | optimized geometry

Results
- Final energy: -3.10 eV/atom
- Mass density: 4249 kg/m³
- SG: R3

abc: 7.276 7.276 7.447
angles: 60.72 60.73 60.01
Fractional coordinates of all 10 atoms:
Rb1 0.778 0.778 0.665
Ag1 0.517 0.517 0.448
Ag2 0.006 0.006 0.981
Pb1 0.313 0.312 0.063
Cl1 0.659 0.263 0.215
Cl2 0.263 0.862 0.216
Cl3 0.862 0.659 0.216
Cl4 0.316 0.741 0.737
Cl5 0.741 0.206 0.737
Cl6 0.206 0.316 0.737